PBE-GGA Ac4TmAu5, optimized geometry; symmetry = P4/mmm; DFT total energy = -4.504 eV/atom
1.0
-1.948 -3.257 -0.425
0.220 -0.622 3.761
-16.655 9.628 2.566
Au Ac Tm
5 4 1
Direct
0.500 0.500 0.500
0.500 0.500 0.080
0.500 0.500 0.920
0.500 0.500 0.294
0.500 0.500 0.706
0.000 0.000 0.810
0.000 0.000 0.603
0.000 0.000 0.397
0.000 0.000 0.190
0.000 0.000 0.000

=====

PBE-GGA AlSiSe, optimized geometry; symmetry = Pm; ΔE_f (raw) = -0.197 eV/atom
1.0
-4.884 -1.687 -0.516
0.868 -3.071 1.822
-1.755 3.237 6.291
Se Si Al
2 2 2
Direct
0.373 0.500 0.618
0.863 0.500 0.343
0.039 0.500 0.042
0.327 0.000 0.090
0.535 0.000 0.400
0.587 0.500 0.913

=====

PBE-GGA La4Nd15Tm, optimized geometry; symmetry = P4/mmm; DFT total energy = -4.769 eV/atom
1.0
-3.563 -0.637 3.761
2.465 -4.311 1.605
14.520 14.326 16.182
Nd La Tm
15 4 1
Direct
0.500 0.000 0.903
0.000 0.500 0.903
0.500 0.500 0.399
0.500 0.000 0.701
0.500 0.500 0.198
0.500 0.500 0.000
0.500 0.000 0.500
0.000 0.500 0.097
0.000 0.500 0.701
0.500 0.000 0.299
0.500 0.000 0.097
0.000 0.500 0.299
0.500 0.500 0.802
0.500 0.500 0.601
0.000 0.500 0.500
0.000 0.000 0.802
0.000 0.000 0.198
0.000 0.000 0.601
0.000 0.000 0.399
0.000 0.000 0.000

=====

PBE-GGA K3Rb4ZnH8, optimized geometry; symmetry = C2/m; DFT total energy = -2.237 eV/atom
1.0
-4.504 -6.141 -2.042
0.403 -2.772 7.444
-2.728 7.501 -1.319
Rb H K Zn
4 8 3 1
Direct
0.000 0.000 0.500
0.500 0.000 0.500
0.000 0.000 0.000
0.500 0.000 0.000
0.830 0.333 0.001
0.745 0.256 0.489
0.170 0.333 0.001
0.255 0.744 0.511
0.830 0.667 0.999
0.743 0.731 0.486
0.170 0.667 0.999
0.257 0.269 0.514
0.000 0.500 0.500
0.500 0.500 0.500
0.500 0.500 0.000
0.000 0.500 0.000